Entry from Alexandria: crystalline LiPb2 at its relaxed geometry (PBE).

Lattice parameters (Å, degrees): 6.328 6.328 7.777 100.93 100.93 31.88
Positions (direct):
Li 0.000 0.000 0.000
Li 0.703 0.703 0.365
Pb 0.291 0.291 0.092
Pb 0.351 0.351 0.670
Pb 0.628 0.628 0.755
Pb 0.987 0.987 0.385

V, Å³/cell: 161.24
Formation energy from the elements, eV per atom: -0.13
Density of states at the Fermi level, states/eV/f.u.: 0.86
Magnetization, μB/atom: 0.000
SG: Cm (8)